[1]
{
  "formula": "ScTcCl2",
  "functional": "GGA-PBE",
  "state": "optimized geometry",
  "raw_formation_energy_ev_per_atom": -0.0697,
  "e_tot_ev_per_atom": -5.167,
  "space_group": "I-4m2 (119)",
  "e_above_lowest_polymorph_kj_per_mol_fu": 245.5,
  "cell": [[5.8415, -0.0148, 0.0000], [3.5716, 4.6225, 0.0000], [-4.7065, -2.3038, 2.5816]],
  "species": ["Sc", "Tc", "Cl", "Cl"],
  "frac_coords": [[0.5000, 0.5000, 0.0000], [0.7500, 0.2500, 0.5000], [0.0000, 0.0000, 0.0000], [0.2500, 0.7500, 0.5000]]
}

=====

[2]
{
  "formula": "RbSrNiCl6",
  "functional": "GGA-PBE",
  "state": "optimized geometry",
  "raw_formation_energy_ev_per_atom": -1.4304,
  "e_tot_ev_per_atom": -3.598,
  "space_group": "P1 (1)",
  "cell": [[7.1935, 0.0018, 0.1210], [3.6011, 5.7762, 0.0591], [0.1201, -0.0034, 7.1128]],
  "species": ["Rb", "Sr", "Ni", "Cl", "Cl", "Cl", "Cl", "Cl", "Cl"],
  "frac_coords": [[0.0035, 0.9930, 0.9995], [0.6809, 0.6377, 0.4995], [0.3319, 0.3362, 0.5002], [0.0586, 0.3444, 0.2739], [0.3319, 0.0634, 0.6819], [0.5961, 0.3462, 0.7263], [0.0539, 0.6080, 0.6802], [0.3372, 0.6079, 0.3197], [0.6058, 0.0632, 0.3187]]
}

=====

[3]
{
  "formula": "LaSmDy3Ho",
  "functional": "GGA-PBE",
  "state": "optimized geometry",
  "e_tot_ev_per_atom": -4.475,
  "delta_e_f_ev_per_atom": 0.20,
  "space_group": "C2/m (12)",
  "cell": [[-3.5495, -0.5208, -4.3840], [2.6425, -9.6101, 2.6620], [-5.4861, -0.1864, 4.4639]],
  "species": ["La", "La", "Sm", "Sm", "Dy", "Dy", "Dy", "Dy", "Dy", "Dy", "Ho", "Ho"],
  "frac_coords": [[0.3550, 0.7100, 0.9705], [0.6450, 0.2900, 0.0295], [0.0530, 0.1060, 0.2682], [0.9470, 0.8940, 0.7318], [0.8360, 0.6719, 0.2722], [0.7796, 0.5591, 0.7558], [0.4772, 0.9543, 0.2641], [0.2204, 0.4409, 0.2442], [0.5228, 0.0457, 0.7359], [0.1640, 0.3281, 0.7278], [0.6496, 0.2992, 0.4589], [0.3504, 0.7008, 0.5411]]
}

=====

[4]
{
  "formula": "Dy2TlGe2Rh5",
  "functional": "GGA-PBE",
  "state": "optimized geometry",
  "e_tot_ev_per_atom": -6.484,
  "delta_e_f_ev_per_atom": -0.73,
  "space_group": "P4/mbm (127)",
  "cell": [[3.6399, 0.0000, 0.0000], [0.0000, 9.8599, 0.0000], [0.0000, 0.0000, 9.8599]],
  "species": ["Dy", "Dy", "Dy", "Dy", "Tl", "Tl", "Ge", "Ge", "Ge", "Ge", "Rh", "Rh", "Rh", "Rh", "Rh", "Rh", "Rh", "Rh", "Rh", "Rh"],
  "frac_coords": [[0.0000, 0.6748, 0.1748], [0.0000, 0.3252, 0.8252], [0.0000, 0.1748, 0.3252], [0.0000, 0.8252, 0.6748], [0.0000, 0.0000, 0.0000], [0.0000, 0.5000, 0.5000], [0.0000, 0.1228, 0.6228], [0.0000, 0.8772, 0.3772], [0.0000, 0.6228, 0.8772], [0.0000, 0.3772, 0.1228], [0.5000, 0.2143, 0.0693], [0.5000, 0.7857, 0.9307], [0.5000, 0.0693, 0.7857], [0.5000, 0.7143, 0.4307], [0.5000, 0.9307, 0.2143], [0.5000, 0.2857, 0.5693], [0.5000, 0.5693, 0.7143], [0.5000, 0.4307, 0.2857], [0.5000, 0.5000, 0.0000], [0.5000, 0.0000, 0.5000]]
}

=====

[5]
{
  "formula": "PuGa2Te",
  "functional": "GGA-PBE",
  "state": "optimized geometry",
  "raw_formation_energy_ev_per_atom": -0.4369,
  "e_tot_ev_per_atom": -6.319,
  "space_group": "P4/mmm (123)",
  "e_above_lowest_polymorph_kj_per_mol_fu": 0.0,
  "cell": [[-3.3420, -1.7673, 2.6319], [2.0326, -3.9223, -0.0527], [2.2613, 1.1231, 3.6255]],
  "species": ["Te", "Ga", "Ga", "Pu"],
  "frac_coords": [[0.5000, 0.0000, 0.0000], [0.0000, 0.0000, 0.5000], [0.0000, 0.5000, 0.0000], [0.5000, 0.5000, 0.5000]]
}

=====

[6]
{
  "formula": "MnIn2Te",
  "functional": "GGA-PBE",
  "state": "optimized geometry",
  "raw_formation_energy_ev_per_atom": 0.1168,
  "e_tot_ev_per_atom": -4.330,
  "space_group": "Imm2 (44)",
  "cell": [[7.0832, 0.0734, -0.0003], [4.6983, 5.3013, 0.0003], [-5.4938, -3.5575, 2.7093]],
  "species": ["In", "In", "Mn", "Te"],
  "frac_coords": [[0.0115, 0.0115, 0.0000], [0.6759, 0.1759, 0.5000], [0.4867, 0.4867, 0.0000], [0.3260, 0.8260, 0.5000]]
}